# 1
Here is an optimized crystal structure of KBi2Pd from the Alexandria database. Energies are from PBE.

a = 6.581 Å, b = 8.128 Å, c = 17.336 Å
α = 90.00°, β = 90.00°, γ = 90.00°
Positions (direct):
Bi: 0.503 0.448 0.714
Bi: 0.269 0.049 0.464
Bi: 0.497 0.552 0.286
Bi: 0.997 0.448 0.214
Bi: 0.003 0.552 0.786
Bi: 0.269 0.451 0.464
Bi: 0.997 0.052 0.214
Bi: 0.769 0.549 0.036
Bi: 0.497 0.948 0.286
Bi: 0.231 0.049 0.964
Bi: 0.003 0.948 0.786
Bi: 0.231 0.451 0.964
Bi: 0.731 0.549 0.536
Bi: 0.769 0.951 0.036
Bi: 0.503 0.052 0.714
Bi: 0.731 0.951 0.536
Pd: 0.489 0.250 0.574
Pd: 0.240 0.250 0.831
Pd: 0.989 0.750 0.926
Pd: 0.740 0.750 0.669
Pd: 0.511 0.750 0.426
Pd: 0.011 0.250 0.074
Pd: 0.260 0.250 0.331
Pd: 0.760 0.750 0.169
K: 0.990 0.750 0.360
K: 0.727 0.250 0.891
K: 0.773 0.250 0.391
K: 0.510 0.750 0.860
K: 0.010 0.250 0.640
K: 0.227 0.750 0.609
K: 0.273 0.750 0.109
K: 0.490 0.250 0.140

Calculated values
ΔE to the lowest computed polymorph   17 meV per atom
ΔH_f (0 K)   -0.289 eV/atom
Space group   Pnma

---

# 2
Here is an optimized crystal structure of KBi3Pd5 from the Alexandria database. Energies are from PBE.

a = 4.329 Å, b = 7.570 Å, c = 13.607 Å
α = 90.00°, β = 90.00°, γ = 106.62°
Positions (direct):
Bi: 0.622 0.245 0.049
Bi: 0.111 0.221 0.750
Bi: 0.378 0.755 0.549
Bi: 0.378 0.755 0.951
Bi: 0.622 0.245 0.451
Bi: 0.889 0.779 0.250
Pd: 0.810 0.620 0.061
Pd: 0.447 0.894 0.359
Pd: 0.190 0.380 0.939
Pd: 0.000 0.000 0.000
Pd: 0.000 0.000 0.500
Pd: 0.553 0.106 0.859
Pd: 0.810 0.620 0.439
Pd: 0.447 0.894 0.141
Pd: 0.553 0.106 0.641
Pd: 0.190 0.380 0.561
K: 0.827 0.653 0.750
K: 0.173 0.347 0.250

Calculated values
ΔH_f (0 K)   -0.295 eV/atom
Space group   Cmcm